Record 1
Compound: Na2CaOsCl8
Source: Alexandria via LeMat-Bulk
Functional: PBE
Structure: relaxed

E_form (uncorrected) (eV per formula unit): -15.9
Magnetic moment (μB/atom): 0.17

```
Na2CaOsCl8
1.0
6.261 0.000 0.000
0.000 8.071 0.000
-0.231 0.000 6.438
Na Ca Os Cl
2 1 1 8
Direct
0.000 0.245 0.000 Na
0.000 0.755 0.000 Na
0.500 0.000 0.500 Ca
0.500 0.500 0.500 Os
0.229 0.000 0.177 Cl
0.275 0.500 0.205 Cl
0.290 0.289 0.649 Cl
0.290 0.711 0.649 Cl
0.710 0.289 0.351 Cl
0.710 0.711 0.351 Cl
0.725 0.500 0.795 Cl
0.771 0.000 0.823 Cl
```



Record 2
Compound: NaCaP2Cl
Source: Alexandria via LeMat-Bulk
Functional: PBE
Structure: relaxed

E_form (uncorrected) (eV per formula unit): -0.4
Distance to the lowest polymorph of the same formula (meV per atom): 0
Magnetic moment (μB/atom): 0.40

```
NaCaP2Cl
1.0
5.502 0.000 0.000
0.000 5.502 0.000
0.000 0.000 5.360
Na Ca P Cl
1 1 2 1
Direct
0.000 0.000 0.000 Na
0.500 0.500 0.500 Ca
0.000 0.500 0.500 P
0.500 0.000 0.500 P
0.500 0.500 0.000 Cl
```



Record 3
Compound: NaCaP2Cl
Source: Alexandria via LeMat-Bulk
Functional: PBE
Structure: relaxed

E_form (uncorrected) (eV per formula unit): 0.4
Distance to the lowest polymorph of the same formula (meV per atom): 152
Magnetic moment (μB/atom): 0.19

```
NaCaP2Cl
1.0
4.899 0.000 0.000
0.000 4.899 0.000
0.000 0.000 5.210
Na Ca P Cl
1 1 2 1
Direct
0.000 0.000 0.000 Na
0.500 0.500 0.500 Ca
0.000 0.500 0.000 P
0.500 0.000 0.000 P
0.000 0.000 0.500 Cl
```



Record 4
Compound: Na2CaPbCl6
Source: Alexandria via LeMat-Bulk
Functional: PBE
Structure: relaxed

E_form (uncorrected) (eV per formula unit): -17.9
Magnetic moment (μB/atom): 0.00

```
Na2CaPbCl6
1.0
3.578 2.066 6.411
-3.578 2.066 6.411
0.000 -4.131 6.411
Na Ca Pb Cl
2 1 1 6
Direct
0.000 0.000 0.000 Na
0.497 0.497 0.497 Na
0.697 0.697 0.697 Ca
0.200 0.200 0.200 Pb
0.088 0.794 0.415 Cl
0.302 0.610 0.893 Cl
0.415 0.088 0.794 Cl
0.610 0.893 0.302 Cl
0.794 0.415 0.088 Cl
0.893 0.302 0.610 Cl
```



Record 5
Compound: NaCa2PbCl8
Source: Alexandria via LeMat-Bulk
Functional: PBE
Structure: relaxed

E_form (uncorrected) (eV per formula unit): -20.9
Magnetic moment (μB/atom): 0.00

```
NaCa2PbCl8
1.0
6.337 0.000 0.000
0.000 8.439 0.000
-0.017 0.000 6.579
Na Ca Pb Cl
1 2 1 8
Direct
0.000 0.000 0.000 Na
0.500 0.241 0.500 Ca
0.500 0.759 0.500 Ca
0.000 0.500 0.000 Pb
0.229 0.258 0.832 Cl
0.229 0.742 0.832 Cl
0.275 0.500 0.337 Cl
0.283 0.000 0.329 Cl
0.717 0.000 0.671 Cl
0.725 0.500 0.663 Cl
0.771 0.258 0.168 Cl
0.771 0.742 0.168 Cl
```



Record 6
Compound: NaCaPdCl6
Source: Alexandria via LeMat-Bulk
Functional: PBE
Structure: relaxed

E_form (uncorrected) (eV per formula unit): -11.7
Magnetic moment (μB/atom): 0.11

```
NaCaPdCl6
1.0
6.409 0.000 0.000
0.000 6.409 0.000
0.000 0.000 11.723
Na Ca Pd Cl
2 2 2 12
Direct
0.000 0.000 0.000 Na
0.500 0.500 0.500 Na
0.000 0.000 0.675 Ca
0.500 0.500 0.175 Ca
0.000 0.000 0.335 Pd
0.500 0.500 0.835 Pd
0.178 0.178 0.482 Cl
0.182 0.182 0.188 Cl
0.211 0.211 0.834 Cl
0.289 0.711 0.334 Cl
0.318 0.682 0.688 Cl
0.322 0.678 0.982 Cl
0.678 0.322 0.982 Cl
0.682 0.318 0.688 Cl
0.711 0.289 0.334 Cl
0.789 0.789 0.834 Cl
0.818 0.818 0.188 Cl
0.822 0.822 0.482 Cl
```



Record 7
Compound: NaCaPmCl6
Source: Alexandria via LeMat-Bulk
Functional: PBE
Structure: relaxed

E_form (uncorrected) (eV per formula unit): -19.9
Magnetic moment (μB/atom): 0.00

```
NaCaPmCl6
1.0
7.083 0.000 0.000
-3.541 6.134 0.000
0.000 0.000 12.412
Na Ca Pm Cl
2 2 2 12
Direct
0.000 0.000 0.000 Na
0.000 0.000 0.500 Na
0.333 0.667 0.250 Ca
0.667 0.333 0.750 Ca
0.333 0.667 0.750 Pm
0.667 0.333 0.250 Pm
0.002 0.351 0.630 Cl
0.002 0.651 0.870 Cl
0.349 0.351 0.870 Cl
0.349 0.998 0.630 Cl
0.351 0.002 0.130 Cl
0.351 0.349 0.370 Cl
0.649 0.651 0.630 Cl
0.649 0.998 0.870 Cl
0.651 0.002 0.370 Cl
0.651 0.649 0.130 Cl
0.998 0.349 0.130 Cl
0.998 0.649 0.370 Cl
```



Record 8
Compound: Na2CaPuCl6
Source: Alexandria via LeMat-Bulk
Functional: PBE
Structure: relaxed

E_form (uncorrected) (eV per formula unit): -19.3
Magnetic moment (μB/atom): 0.60

```
Na2CaPuCl6
1.0
3.560 2.055 6.401
-3.560 2.055 6.401
0.000 -4.110 6.401
Na Ca Pu Cl
2 1 1 6
Direct
0.000 0.000 0.000 Na
0.495 0.495 0.495 Na
0.697 0.697 0.697 Ca
0.202 0.202 0.202 Pu
0.087 0.413 0.801 Cl
0.304 0.898 0.604 Cl
0.413 0.801 0.087 Cl
0.604 0.304 0.898 Cl
0.801 0.087 0.413 Cl
0.898 0.604 0.304 Cl
```



Record 9
Compound: NaCaPuCl6
Source: Alexandria via LeMat-Bulk
Functional: PBE
Structure: relaxed

E_form (uncorrected) (eV per formula unit): -18.4
Magnetic moment (μB/atom): 0.56

```
NaCaPuCl6
1.0
7.093 0.000 0.000
-3.547 6.143 0.000
0.000 0.000 12.343
Na Ca Pu Cl
2 2 2 12
Direct
0.000 0.000 0.000 Na
0.000 0.000 0.500 Na
0.333 0.667 0.250 Ca
0.667 0.333 0.750 Ca
0.333 0.667 0.750 Pu
0.667 0.333 0.250 Pu
0.002 0.349 0.631 Cl
0.002 0.653 0.869 Cl
0.347 0.349 0.869 Cl
0.347 0.998 0.631 Cl
0.349 0.002 0.131 Cl
0.349 0.347 0.369 Cl
0.651 0.653 0.631 Cl
0.651 0.998 0.869 Cl
0.653 0.002 0.369 Cl
0.653 0.651 0.131 Cl
0.998 0.347 0.131 Cl
0.998 0.651 0.369 Cl
```



Record 10
Compound: Na2CaPuCl8
Source: Alexandria via LeMat-Bulk
Functional: PBE
Structure: relaxed

E_form (uncorrected) (eV per formula unit): -22.5
Magnetic moment (μB/atom): 0.33

```
Na2CaPuCl8
1.0
6.462 0.000 0.000
0.000 8.371 0.000
-0.439 0.000 6.616
Na Ca Pu Cl
2 1 1 8
Direct
0.000 0.236 0.000 Na
0.000 0.764 0.000 Na
0.500 0.000 0.500 Ca
0.500 0.500 0.500 Pu
0.220 0.000 0.192 Cl
0.229 0.500 0.194 Cl
0.297 0.269 0.667 Cl
0.297 0.731 0.667 Cl
0.703 0.269 0.333 Cl
0.703 0.731 0.333 Cl
0.771 0.500 0.806 Cl
0.780 0.000 0.808 Cl
```



Record 11
Compound: Rb2NaCaCl5
Source: Alexandria via LeMat-Bulk
Functional: PBE
Structure: relaxed

E_form (uncorrected) (eV per formula unit): -18.5
Magnetic moment (μB/atom): 0.02

```
Rb2NaCaCl5
1.0
2.152 -9.095 0.000
2.152 9.095 0.000
0.000 0.000 14.657
Rb Na Ca Cl
4 2 2 10
Direct
0.090 0.910 0.500 Rb
0.138 0.862 0.137 Rb
0.862 0.138 0.637 Rb
0.910 0.090 0.000 Rb
0.462 0.538 0.290 Na
0.538 0.462 0.790 Na
0.219 0.781 0.860 Ca
0.781 0.219 0.360 Ca
0.071 0.929 0.891 Cl
0.270 0.730 0.486 Cl
0.304 0.696 0.241 Cl
0.368 0.632 0.830 Cl
0.497 0.503 0.618 Cl
0.503 0.497 0.118 Cl
0.632 0.368 0.330 Cl
0.696 0.304 0.741 Cl
0.730 0.270 0.986 Cl
0.929 0.071 0.391 Cl
```



Record 12
Compound: NaCaRhCl6
Source: Alexandria via LeMat-Bulk
Functional: PBE
Structure: relaxed

E_form (uncorrected) (eV per formula unit): -13.0
Magnetic moment (μB/atom): 0.00

```
NaCaRhCl6
1.0
6.649 0.000 0.000
-3.324 5.758 0.000
0.000 0.000 12.133
Na Ca Rh Cl
2 2 2 12
Direct
0.000 0.000 0.000 Na
0.000 0.000 0.500 Na
0.333 0.667 0.250 Ca
0.667 0.333 0.750 Ca
0.333 0.667 0.750 Rh
0.667 0.333 0.250 Rh
0.042 0.379 0.635 Cl
0.042 0.662 0.865 Cl
0.338 0.379 0.865 Cl
0.338 0.958 0.635 Cl
0.379 0.042 0.135 Cl
0.379 0.338 0.365 Cl
0.621 0.662 0.635 Cl
0.621 0.958 0.865 Cl
0.662 0.042 0.365 Cl
0.662 0.621 0.135 Cl
0.958 0.338 0.135 Cl
0.958 0.621 0.365 Cl
```